Entry from the Alexandria database: a relaxed structure of Zn2CdPbF8 (PBE).

The structure in CIF format:
```
data_Zn2CdPbF8
_symmetry_space_group_name_H-M 'I -4'
_symmetry_Int_Tables_number 82
_symmetry_space_group_name_Hall 'I -4'
_cell_length_a 5.455
_cell_length_b 5.455
_cell_length_c 11.600
_cell_angle_alpha 90.00
_cell_angle_beta 90.00
_cell_angle_gamma 90.00
loop_
_atom_site_label
_atom_site_fract_x
_atom_site_fract_y
_atom_site_fract_z
Zn1 0.000 0.000 0.000
Zn2 0.000 0.500 0.250
Cd1 0.000 0.000 0.500
Pb1 0.000 0.500 0.750
F1 0.161 0.758 0.340
F2 0.184 0.257 0.920
```


Entry from the Alexandria database: a relaxed structure of LiCo2BAs (PBE).

The structure in CIF format:
```
data_LiCo2BAs
_symmetry_space_group_name_H-M 'P m m 2'
_symmetry_Int_Tables_number 25
_symmetry_space_group_name_Hall 'P 2 -2'
_cell_length_a 2.933
_cell_length_b 4.885
_cell_length_c 4.117
_cell_angle_alpha 90.00
_cell_angle_beta 90.00
_cell_angle_gamma 90.00
loop_
_atom_site_label
_atom_site_fract_x
_atom_site_fract_y
_atom_site_fract_z
Li1 0.000 0.000 0.000
Co1 0.500 0.238 0.505
B1 0.000 0.500 0.565
As1 0.500 0.500 0.015
```

Computed properties:
- formation energy from the elements (eV per atom) = 0.0239


Entry from the Alexandria database: a relaxed structure of CdCoRh2 (PBE).

The structure in CIF format:
```
data_CdCoRh2
_symmetry_space_group_name_H-M 'P 4/m m m'
_symmetry_Int_Tables_number 123
_symmetry_space_group_name_Hall '-P 4 2'
_cell_length_a 4.424
_cell_length_b 4.424
_cell_length_c 3.089
_cell_angle_alpha 90.00
_cell_angle_beta 90.00
_cell_angle_gamma 90.00
loop_
_atom_site_label
_atom_site_fract_x
_atom_site_fract_y
_atom_site_fract_z
Cd1 0.000 0.000 0.000
Co1 0.500 0.500 0.000
Rh1 0.000 0.500 0.500
```

Computed properties:
- formation energy from the elements (eV per atom) = 0.1848


Entry from the Alexandria database: a relaxed structure of La3ZnO (PBE).

The structure in CIF format:
```
data_La3ZnO
_symmetry_space_group_name_H-M 'P n m a'
_symmetry_Int_Tables_number 62
_symmetry_space_group_name_Hall '-P 2ac 2n'
_cell_length_a 7.152
_cell_length_b 10.066
_cell_length_c 7.035
_cell_angle_alpha 90.00
_cell_angle_beta 90.00
_cell_angle_gamma 90.00
loop_
_atom_site_label
_atom_site_fract_x
_atom_site_fract_y
_atom_site_fract_z
La1 0.000 0.250 0.056
La2 0.249 0.027 0.749
Zn1 0.001 0.750 0.492
O1 0.000 0.000 0.000
```


Entry from the Alexandria database: a relaxed structure of TiNb2ZnH (PBE).

The structure in CIF format:
```
data_TiNb2ZnH
_symmetry_space_group_name_H-M 'P 4/m m m'
_symmetry_Int_Tables_number 123
_symmetry_space_group_name_Hall '-P 4 2'
_cell_length_a 4.036
_cell_length_b 4.036
_cell_length_c 4.302
_cell_angle_alpha 90.00
_cell_angle_beta 90.00
_cell_angle_gamma 90.00
loop_
_atom_site_label
_atom_site_fract_x
_atom_site_fract_y
_atom_site_fract_z
Ti1 0.000 0.000 0.000
Nb1 0.000 0.500 0.500
Zn1 0.500 0.500 0.000
H1 0.000 0.000 0.500
```


Entry from the Alexandria database: a relaxed structure of Sr2HfMgSn (PBE).

The structure in CIF format:
```
data_Sr2HfMgSn
_symmetry_space_group_name_H-M 'P 4/m m m'
_symmetry_Int_Tables_number 123
_symmetry_space_group_name_Hall '-P 4 2'
_cell_length_a 6.029
_cell_length_b 6.029
_cell_length_c 5.552
_cell_angle_alpha 90.00
_cell_angle_beta 90.00
_cell_angle_gamma 90.00
loop_
_atom_site_label
_atom_site_fract_x
_atom_site_fract_y
_atom_site_fract_z
Sr1 0.000 0.500 0.000
Hf1 0.000 0.000 0.000
Mg1 0.000 0.000 0.500
Sn1 0.500 0.500 0.500
```

Computed properties:
- formation energy from the elements (eV per atom) = 0.9110


Entry from the Alexandria database: a relaxed structure of CsCu2AsSe (PBE).

The structure in CIF format:
```
data_CsCu2AsSe
_symmetry_space_group_name_H-M 'P 1 21/m 1'
_symmetry_Int_Tables_number 11
_symmetry_space_group_name_Hall '-P 2yb'
_cell_length_a 7.618
_cell_length_b 4.216
_cell_length_c 8.531
_cell_angle_alpha 90.00
_cell_angle_beta 99.26
_cell_angle_gamma 90.00
loop_
_atom_site_label
_atom_site_fract_x
_atom_site_fract_y
_atom_site_fract_z
Cs1 0.069 0.250 0.250
Cu1 0.442 0.750 0.808
Cu2 0.462 0.250 0.640
As1 0.407 0.750 0.077
Se1 0.296 0.750 0.537
```


Entry from the Alexandria database: a relaxed structure of Tb8MgAg2 (PBE).

The structure in CIF format:
```
data_Tb8MgAg2
_symmetry_space_group_name_H-M 'C 1 2/m 1'
_symmetry_Int_Tables_number 12
_symmetry_space_group_name_Hall '-C 2y'
_cell_length_a 16.057
_cell_length_b 5.356
_cell_length_c 8.407
_cell_angle_alpha 90.00
_cell_angle_beta 120.25
_cell_angle_gamma 90.00
loop_
_atom_site_label
_atom_site_fract_x
_atom_site_fract_y
_atom_site_fract_z
Tb1 0.066 0.000 0.227
Tb2 0.100 0.500 0.965
Tb3 0.144 0.000 0.701
Tb4 0.185 0.500 0.457
Mg1 0.000 0.500 0.500
Ag1 0.226 0.000 0.127
```

Computed properties:
- formation energy from the elements (eV per atom) = -0.0884


Entry from the Alexandria database: a relaxed structure of NaPm5Hg6 (PBE).

The structure in CIF format:
```
data_NaPm5Hg6
_symmetry_space_group_name_H-M 'C m m m'
_symmetry_Int_Tables_number 65
_symmetry_space_group_name_Hall '-C 2 2'
_cell_length_a 5.362
_cell_length_b 16.018
_cell_length_c 7.609
_cell_angle_alpha 90.00
_cell_angle_beta 90.00
_cell_angle_gamma 90.00
loop_
_atom_site_label
_atom_site_fract_x
_atom_site_fract_y
_atom_site_fract_z
Na1 0.000 0.000 0.000
Pm1 0.000 0.000 0.500
Pm2 0.000 0.331 0.500
Pm3 0.000 0.340 0.000
Hg1 0.000 0.167 0.244
Hg2 0.000 0.500 0.258
```

Computed properties:
- formation energy from the elements (eV per atom) = -0.4404


Entry from the Alexandria database: a relaxed structure of KSn2Pb3Se6 (PBE).

The structure in CIF format:
```
data_KSn2Pb3Se6
_symmetry_space_group_name_H-M 'C 1 2/m 1'
_symmetry_Int_Tables_number 12
_symmetry_space_group_name_Hall '-C 2y'
_cell_length_a 18.775
_cell_length_b 4.329
_cell_length_c 8.833
_cell_angle_alpha 90.00
_cell_angle_beta 101.30
_cell_angle_gamma 90.00
loop_
_atom_site_label
_atom_site_fract_x
_atom_site_fract_y
_atom_site_fract_z
K1 0.000 0.000 0.000
Sn1 0.164 0.500 0.328
Pb1 0.000 0.000 0.500
Pb2 0.163 0.500 0.826
Se1 0.012 0.500 0.267
Se2 0.168 0.000 0.587
Se3 0.176 0.000 0.109
```


Entry from the Alexandria database: a relaxed structure of KTmIn (PBE).

The structure in CIF format:
```
data_KTmIn
_symmetry_space_group_name_H-M 'I 4/m m m'
_symmetry_Int_Tables_number 139
_symmetry_space_group_name_Hall '-I 4 2'
_cell_length_a 3.980
_cell_length_b 3.980
_cell_length_c 28.806
_cell_angle_alpha 90.00
_cell_angle_beta 90.00
_cell_angle_gamma 90.00
loop_
_atom_site_label
_atom_site_fract_x
_atom_site_fract_y
_atom_site_fract_z
K1 0.000 0.000 0.077
Tm1 0.000 0.000 0.213
In1 0.000 0.000 0.336
```

Computed properties:
- formation energy from the elements (eV per atom) = -0.1302


Entry from the Alexandria database: a relaxed structure of LiRePCl2 (PBE).

The structure in CIF format:
```
data_LiRePCl2
_symmetry_space_group_name_H-M 'P 4/m m m'
_symmetry_Int_Tables_number 123
_symmetry_space_group_name_Hall '-P 4 2'
_cell_length_a 4.105
_cell_length_b 4.105
_cell_length_c 6.229
_cell_angle_alpha 90.00
_cell_angle_beta 90.00
_cell_angle_gamma 90.00
loop_
_atom_site_label
_atom_site_fract_x
_atom_site_fract_y
_atom_site_fract_z
Li1 0.000 0.000 0.000
Re1 0.500 0.500 0.500
P1 0.000 0.000 0.500
Cl1 0.000 0.500 0.000
```


no.,VASP energy (eV/atom)
1,-4.135
2,-5.467
3,-5.496
4,-5.453
5,-6.677
6,-2.872
7,-3.767
8,-4.119
9,-2.681
10,-4.002
11,-2.899
12,-3.964